Entry 1:
Compound: SrReS3
Source: Alexandria via LeMat-Bulk
Functional: GGA-PBE
Structure: relaxed

Values from the calculation:
ΔE_f (raw): -0.65 eV per atom
distance to the lowest polymorph of the same formula: 0 meV/atom
crystal system: cubic
final energy: -5.957 eV per atom

a = 4.727 Å, b = 4.727 Å, c = 4.727 Å
α = 90.00°, β = 90.00°, γ = 90.00°
Space group Pm-3m (No. 221)
One atom of each set of equivalent atoms:
Sr (0.000, 0.000, 0.000) [1 per cell]
Re (0.500, 0.500, 0.500) [1 per cell]
S (0.000, 0.500, 0.500) [3 per cell]

Entry 2:
Compound: BaAs2Pt
Source: Alexandria via LeMat-Bulk
Functional: GGA-PBE
Structure: relaxed

Values from the calculation:
crystal system: cubic
final energy: -4.392 eV per atom
ΔE_f: -77 meV per atom

a = 7.177 Å, b = 7.177 Å, c = 7.177 Å
α = 90.00°, β = 90.00°, γ = 90.00°
Space group Fm-3m (No. 225)
One atom of each set of equivalent atoms:
Ba (0.000, 0.000, 0.000) [4 per cell]
As (0.250, 0.250, 0.250) [8 per cell]
Pt (0.000, 0.000, 0.500) [4 per cell]